Entry 1:
In7Rh6 after structural relaxation, computed with PBE.

a = 5.6832 Å, b = 5.6832 Å, c = 27.0171 Å
α = 90.00°, β = 90.00°, γ = 120.00°
Space group R-3m (No. 166, hexagonal axes)
One atom of each set of equivalent atoms:
In 0.0000 0.0000 0.0000 (multiplicity 3)
In 0.0060 0.5030 0.4207 (multiplicity 18)
Rh 0.0000 0.0000 0.1648 (multiplicity 6)
Rh 0.0000 0.0000 0.3308 (multiplicity 6)
Rh 0.0000 0.0000 0.4511 (multiplicity 6)

Summary:
ΔE_f in eV/atom: 0.240
Total magnetic moment in μB per cell: 0.00
DOS at the Fermi energy in states/eV per cell: 35.89
E in eV per atom: -4.6271



Entry 2:
In6Rh after structural relaxation, computed with PBE.

a = 9.0490 Å, b = 7.1723 Å, c = 10.2038 Å
α = 90.00°, β = 90.00°, γ = 90.00°
Space group Cmcm (No. 63)
One atom of each set of equivalent atoms:
In 0.0000 0.1316 0.1041 (multiplicity 8)
In 0.1716 0.5000 0.0000 (multiplicity 8)
In 0.1813 0.2195 0.7500 (multiplicity 8)
Rh 0.0000 0.4535 0.2500 (multiplicity 4)

Summary:
ΔE_f in eV/atom: -0.060
Total magnetic moment in μB per cell: 0.00
DOS at the Fermi energy in states/eV per cell: 12.27
E in eV per atom: -3.4574



Entry 3:
In3Rh after structural relaxation, computed with PBE.

a = 3.3524 Å, b = 3.3524 Å, c = 9.2295 Å
α = 90.00°, β = 90.00°, γ = 120.00°
Space group P-6m2 (No. 187)
One atom of each set of equivalent atoms:
In 0.0000 0.0000 0.0000 (multiplicity 1)
In 0.3333 0.6667 0.2917 (multiplicity 2)
Rh 0.0000 0.0000 0.5000 (multiplicity 1)

Summary:
ΔE_f in eV/atom: -0.064
Total magnetic moment in μB per cell: 0.00
DOS at the Fermi energy in states/eV per cell: 1.93
E in eV per atom: -3.9561



Entry 4:
InRh after structural relaxation, computed with PBE.

a = 3.1145 Å, b = 3.1145 Å, c = 8.9142 Å
α = 90.00°, β = 90.00°, γ = 120.00°
Space group P-3m1 (No. 164)
One atom of each set of equivalent atoms:
In 0.3333 0.6667 0.1528 (multiplicity 2)
Rh 0.3333 0.6667 0.6135 (multiplicity 2)

Summary:
ΔE_f in eV/atom: 0.139
Total magnetic moment in μB per cell: 0.60
DOS at the Fermi energy in states/eV per cell: 4.88
E in eV per atom: -4.9062



Entry 5:
In3Rh after structural relaxation, computed with PBE.

a = 3.3435 Å, b = 3.3435 Å, c = 27.6452 Å
α = 90.00°, β = 90.00°, γ = 120.00°
Space group R-3m (No. 166, hexagonal axes)
One atom of each set of equivalent atoms:
In 0.0000 0.0000 0.0000 (multiplicity 3)
In 0.0000 0.0000 0.2360 (multiplicity 6)
Rh 0.0000 0.0000 0.5000 (multiplicity 3)

Summary:
ΔE_f in eV/atom: -0.096
Total magnetic moment in μB per cell: 0.00
DOS at the Fermi energy in states/eV per cell: 4.29
E in eV per atom: -3.9882



Entry 6:
InRh after structural relaxation, computed with PBE.

a = 3.1811 Å, b = 3.1811 Å, c = 12.2914 Å
α = 90.00°, β = 90.00°, γ = 120.00°
Space group R-3m (No. 166, hexagonal axes)
One atom of each set of equivalent atoms:
In 0.0000 0.0000 0.0000 (multiplicity 3)
Rh 0.0000 0.0000 0.5000 (multiplicity 3)

Summary:
ΔE_f in eV/atom: -0.185
Total magnetic moment in μB per cell: 0.00
DOS at the Fermi energy in states/eV per cell: 5.91
E in eV per atom: -5.2298



Entry 7:
In3Rh after structural relaxation, computed with PBE.

a = 4.3367 Å, b = 4.3367 Å, c = 4.3367 Å
α = 90.00°, β = 90.00°, γ = 90.00°
Space group Pm-3m (No. 221)
One atom of each set of equivalent atoms:
In 0.0000 0.0000 0.5000 (multiplicity 3)
Rh 0.5000 0.5000 0.5000 (multiplicity 1)

Summary:
ΔE_f in eV/atom: 0.052
Total magnetic moment in μB per cell: 0.00
DOS at the Fermi energy in states/eV per cell: 2.54
E in eV per atom: -3.8396



Entry 8:
In3Rh2 after structural relaxation, computed with PBE.

a = 4.2612 Å, b = 5.8713 Å, c = 7.7111 Å
α = 90.00°, β = 90.00°, γ = 90.00°
Space group Immm (No. 71)
One atom of each set of equivalent atoms:
In 0.0000 0.0000 0.0000 (multiplicity 2)
In 0.0000 0.5000 0.1946 (multiplicity 4)
Rh 0.0000 0.2309 0.5000 (multiplicity 4)

Summary:
ΔE_f in eV/atom: -0.300
Total magnetic moment in μB per cell: 0.00
DOS at the Fermi energy in states/eV per cell: 4.25
E in eV per atom: -4.8835



Entry 9:
InRh after structural relaxation, computed with PBE.

a = 7.3278 Å, b = 7.3278 Å, c = 7.3278 Å
α = 90.00°, β = 90.00°, γ = 90.00°
Space group Pm-3n (No. 223)
One atom of each set of equivalent atoms:
In 0.0000 0.2500 0.5000 (multiplicity 6)
Rh 0.0000 0.5000 0.2500 (multiplicity 6)

Summary:
ΔE_f in eV/atom: 0.593
Total magnetic moment in μB per cell: 0.00
DOS at the Fermi energy in states/eV per cell: 5.78
E in eV per atom: -4.4521



Entry 10:
InRh after structural relaxation, computed with PBE.

a = 5.3742 Å, b = 5.3742 Å, c = 5.3742 Å
α = 90.00°, β = 90.00°, γ = 90.00°
Space group Fm-3m (No. 225)
One atom of each set of equivalent atoms:
In 0.0000 0.0000 0.0000 (multiplicity 4)
Rh 0.0000 0.0000 0.5000 (multiplicity 4)

Summary:
ΔE_f in eV/atom: -0.047
Total magnetic moment in μB per cell: 0.00
DOS at the Fermi energy in states/eV per cell: 3.25
E in eV per atom: -5.0919



Entry 11:
InRh after structural relaxation, computed with PBE.

a = 8.0594 Å, b = 8.0594 Å, c = 8.0594 Å
α = 90.00°, β = 90.00°, γ = 90.00°
Space group I-43m (No. 217)
One atom of each set of equivalent atoms:
In 0.1993 0.1993 0.8007 (multiplicity 8)
Rh 0.1169 0.1169 0.1169 (multiplicity 8)

Summary:
ΔE_f in eV/atom: 0.349
Total magnetic moment in μB per cell: 2.61
DOS at the Fermi energy in states/eV per cell: 26.57
E in eV per atom: -4.6960



Entry 12:
In3Rh after structural relaxation, computed with PBE.

a = 9.3530 Å, b = 9.3530 Å, c = 3.3563 Å
α = 90.00°, β = 90.00°, γ = 120.00°
Space group R-3m (No. 166, hexagonal axes)
One atom of each set of equivalent atoms:
In 0.0000 0.5000 0.0000 (multiplicity 9)
Rh 0.0000 0.0000 0.0000 (multiplicity 3)

Summary:
ΔE_f in eV/atom: 0.089
Total magnetic moment in μB per cell: 0.00
DOS at the Fermi energy in states/eV per cell: 7.71
E in eV per atom: -3.8022



Entry 13:
InRh2 after structural relaxation, computed with PBE.

a = 2.8974 Å, b = 4.5105 Å, c = 7.9333 Å
α = 90.00°, β = 90.00°, γ = 90.00°
Space group Immm (No. 71)
One atom of each set of equivalent atoms:
In 0.0000 0.0000 0.0000 (multiplicity 2)
Rh 0.0000 0.5000 0.2092 (multiplicity 4)

Summary:
ΔE_f in eV/atom: -0.005
Total magnetic moment in μB per cell: 0.00
DOS at the Fermi energy in states/eV per cell: 5.32
E in eV per atom: -5.8189



Entry 14:
InRh after structural relaxation, computed with PBE.

a = 3.1722 Å, b = 4.4614 Å, c = 9.9061 Å
α = 90.00°, β = 90.00°, γ = 90.00°
Space group Imma (No. 74)
One atom of each set of equivalent atoms:
In 0.0000 0.2500 0.1138 (multiplicity 4)
Rh 0.0000 0.2500 0.6238 (multiplicity 4)

Summary:
ΔE_f in eV/atom: -0.222
Total magnetic moment in μB per cell: 0.00
DOS at the Fermi energy in states/eV per cell: 5.32
E in eV per atom: -5.2672



Entry 15:
In3Rh after structural relaxation, computed with PBE.

a = 3.1710 Å, b = 3.2201 Å, c = 8.9967 Å
α = 90.00°, β = 90.00°, γ = 90.00°
Space group Pmm2 (No. 25)
One atom of each set of equivalent atoms:
In 0.0000 0.0000 0.0000 (multiplicity 1)
In 0.0000 0.5000 0.4156 (multiplicity 1)
In 0.5000 0.5000 0.7266 (multiplicity 1)
Rh 0.5000 0.0000 0.2450 (multiplicity 1)

Summary:
ΔE_f in eV/atom: -0.060
Total magnetic moment in μB per cell: 0.00
DOS at the Fermi energy in states/eV per cell: 2.23
E in eV per atom: -3.9515



Entry 16:
InRh2 after structural relaxation, computed with PBE.

a = 6.0645 Å, b = 6.0645 Å, c = 5.6553 Å
α = 90.00°, β = 90.00°, γ = 90.00°
Space group I4/mcm (No. 140)
One atom of each set of equivalent atoms:
In 0.0000 0.0000 0.2500 (multiplicity 4)
Rh 0.1461 0.3539 0.0000 (multiplicity 8)

Summary:
ΔE_f in eV/atom: 0.183
Total magnetic moment in μB per cell: 3.14
DOS at the Fermi energy in states/eV per cell: 16.66
E in eV per atom: -5.6304



Entry 17:
In3Rh after structural relaxation, computed with PBE.

a = 3.4971 Å, b = 4.6515 Å, c = 5.5120 Å
α = 90.00°, β = 102.32°, γ = 90.00°
Space group P2/m (No. 10)
One atom of each set of equivalent atoms:
In 0.0000 0.0000 0.0000 (multiplicity 1)
In 0.3461 0.5000 0.7281 (multiplicity 2)
Rh 0.0000 0.0000 0.5000 (multiplicity 1)

Summary:
ΔE_f in eV/atom: -0.024
Total magnetic moment in μB per cell: 0.00
DOS at the Fermi energy in states/eV per cell: 2.35
E in eV per atom: -3.9158



Entry 18:
InRh2 after structural relaxation, computed with PBE.

a = 10.1168 Å, b = 2.9199 Å, c = 6.7551 Å
α = 90.00°, β = 102.79°, γ = 90.00°
Space group Cm (No. 8)
One atom of each set of equivalent atoms:
In 0.0000 0.0000 0.0000 (multiplicity 2)
In 0.2014 0.5000 0.3653 (multiplicity 2)
Rh 0.0681 0.0000 0.6242 (multiplicity 2)
Rh 0.2250 0.5000 0.9590 (multiplicity 2)
Rh 0.3466 0.0000 0.6829 (multiplicity 2)
Rh 0.4188 0.0000 0.2974 (multiplicity 2)

Summary:
ΔE_f in eV/atom: -0.136
Total magnetic moment in μB per cell: 0.00
DOS at the Fermi energy in states/eV per cell: 10.76
E in eV per atom: -5.9495



Entry 19:
In3Rh5 after structural relaxation, computed with PBE.

a = 7.6642 Å, b = 7.6642 Å, c = 5.3869 Å
α = 90.00°, β = 90.00°, γ = 120.00°
Space group P6_3/mcm (No. 193)
One atom of each set of equivalent atoms:
In 0.0000 0.4023 0.2500 (multiplicity 6)
Rh 0.0000 0.2130 0.7500 (multiplicity 6)
Rh 0.3333 0.6667 0.0000 (multiplicity 4)

Summary:
ΔE_f in eV/atom: -0.032
Total magnetic moment in μB per cell: 2.20
DOS at the Fermi energy in states/eV per cell: 23.80
E in eV per atom: -5.6537



Entry 20:
In4Rh after structural relaxation, computed with PBE.

a = 5.1668 Å, b = 5.1668 Å, c = 5.1668 Å
α = 90.00°, β = 90.00°, γ = 90.00°
Space group Pm-3m (No. 221)
One atom of each set of equivalent atoms:
In 0.0000 0.0000 0.0000 (multiplicity 1)
In 0.0000 0.5000 0.5000 (multiplicity 3)
Rh 0.5000 0.5000 0.5000 (multiplicity 1)

Summary:
ΔE_f in eV/atom: -0.097
Total magnetic moment in μB per cell: 0.00
DOS at the Fermi energy in states/eV per cell: 2.12
E in eV per atom: -3.7580



Entry 21:
InRh after structural relaxation, computed with PBE.

a = 3.2353 Å, b = 3.2353 Å, c = 3.2353 Å
α = 90.00°, β = 90.00°, γ = 90.00°
Space group Pm-3m (No. 221)
One atom of each set of equivalent atoms:
In 0.0000 0.0000 0.0000 (multiplicity 1)
Rh 0.5000 0.5000 0.5000 (multiplicity 1)

Summary:
ΔE_f in eV/atom: -0.424
Total magnetic moment in μB per cell: 0.00
DOS at the Fermi energy in states/eV per cell: 1.07
E in eV per atom: -5.4689



Entry 22:
InRh2 after structural relaxation, computed with PBE.

a = 7.4191 Å, b = 7.4191 Å, c = 7.4191 Å
α = 90.00°, β = 90.00°, γ = 90.00°
Space group Fd-3m (No. 227, origin choice 2)
One atom of each set of equivalent atoms:
In 0.1250 0.1250 0.1250 (multiplicity 8)
Rh 0.0000 0.0000 0.5000 (multiplicity 16)

Summary:
ΔE_f in eV/atom: 0.011
Total magnetic moment in μB per cell: 0.00
DOS at the Fermi energy in states/eV per cell: 22.50
E in eV per atom: -5.8026



Entry 23:
InRh after structural relaxation, computed with PBE.

a = 8.1137 Å, b = 8.1137 Å, c = 4.4810 Å
α = 90.00°, β = 90.00°, γ = 120.00°
Space group P6_3/m (No. 176)
One atom of each set of equivalent atoms:
In 0.1925 0.8030 0.2500 (multiplicity 6)
Rh 0.1087 0.5629 0.7500 (multiplicity 6)

Summary:
ΔE_f in eV/atom: -0.095
Total magnetic moment in μB per cell: 1.76
DOS at the Fermi energy in states/eV per cell: 13.73
E in eV per atom: -5.1403



Entry 24:
In3Rh after structural relaxation, computed with PBE.

a = 7.5068 Å, b = 8.4049 Å, c = 5.3964 Å
α = 90.00°, β = 90.00°, γ = 90.00°
Space group Pnma (No. 62)
One atom of each set of equivalent atoms:
In 0.0122 0.2500 0.0883 (multiplicity 4)
In 0.1724 0.0541 0.6306 (multiplicity 8)
Rh 0.1271 0.7500 0.4337 (multiplicity 4)

Summary:
ΔE_f in eV/atom: -0.278
Total magnetic moment in μB per cell: 0.00
DOS at the Fermi energy in states/eV per cell: 6.79
E in eV per atom: -4.1693



Entry 25:
In3Rh after structural relaxation, computed with PBE.

a = 5.7341 Å, b = 8.2429 Å, c = 3.5249 Å
α = 90.00°, β = 90.00°, γ = 90.00°
Space group Cmmm (No. 65)
One atom of each set of equivalent atoms:
In 0.0000 0.0000 0.0000 (multiplicity 2)
In 0.2500 0.2500 0.5000 (multiplicity 4)
Rh 0.0000 0.5000 0.0000 (multiplicity 2)

Summary:
ΔE_f in eV/atom: 0.031
Total magnetic moment in μB per cell: 0.00
DOS at the Fermi energy in states/eV per cell: 5.18
E in eV per atom: -3.8611



Entry 26:
InRh after structural relaxation, computed with PBE.

a = 3.9053 Å, b = 3.9053 Å, c = 9.1230 Å
α = 90.00°, β = 90.00°, γ = 90.00°
Space group I4_1/amd (No. 141, origin choice 2)
One atom of each set of equivalent atoms:
In 0.0000 0.2500 0.3750 (multiplicity 4)
Rh 0.0000 0.2500 0.8750 (multiplicity 4)

Summary:
ΔE_f in eV/atom: -0.181
Total magnetic moment in μB per cell: 0.00
DOS at the Fermi energy in states/eV per cell: 10.45
E in eV per atom: -5.2262